A.
The following is a DFT calculation (meta-GGA SCAN) of a crystal of TlAs2Br relaxed with PBEsol.

Geometry as POSCAR:
```
TlAs2Br
1.0
3.402 0.000 0.000
0.000 4.893 0.000
-1.701 -2.446 5.525
Br As Tl
1 2 1
Direct
0.500 0.000 0.000
0.725 0.725 0.450
0.275 0.275 0.550
0.000 0.500 0.000
```

***

B.
The following is a DFT calculation (meta-GGA SCAN) of a crystal of TlAs2Br relaxed with PBEsol.

Geometry as POSCAR:
```
TlAs2Br
1.0
3.715 0.000 0.000
0.000 4.920 0.095
-1.857 -0.736 5.801
As Tl Br
2 1 1
Direct
0.769 0.841 0.539
0.231 0.159 0.461
0.000 0.000 0.000
0.500 0.500 0.000
```

***

C.
The following is a DFT calculation (meta-GGA SCAN) of a crystal of TlAs2Br relaxed with PBEsol.

Geometry as POSCAR:
```
TlAs2Br
1.0
-2.353 2.685 3.474
1.460 -0.253 4.756
2.285 3.889 2.114
As Br Tl
2 1 1
Direct
0.250 0.250 0.250
0.750 0.750 0.750
0.000 0.000 0.000
0.500 0.500 0.500
```

***

Pick B: it beats the second-best structure by 0.530 eV/atom.